## PmHoIn2 (PBE-GGA)

Data for a relaxed structure of PmHoIn2.

Lattice parameters (Å, degrees): 3.790 3.790 7.570 90.00 90.00 90.00
Fractional positions:
Pm 0.000 0.000 0.000
Ho 0.000 0.000 0.500
In 0.500 0.500 0.261
In 0.500 0.500 0.739

Summary:
V (Å³ per cell): 109
Energy (eV/atom): -4.18

=====

## Cs2FePdI6 (PBE-GGA)

Data for a relaxed structure of Cs2FePdI6.

Lattice parameters (Å, degrees): 8.109 8.109 8.109 120.36 120.36 89.37
Fractional positions:
Cs 0.250 0.750 0.500
Cs 0.750 0.250 0.500
Fe 0.000 0.000 0.000
Pd 0.500 0.500 0.000
I 0.236 0.236 0.000
I 0.253 0.253 0.506
I 0.253 0.747 0.000
I 0.747 0.253 0.000
I 0.747 0.747 0.494
I 0.764 0.764 0.000

Summary:
V (Å³ per cell): 375
Energy (eV/atom): -3.11

=====

## ScTlZnCu (PBE-GGA)

Data for a relaxed structure of ScTlZnCu.

Lattice parameters (Å, degrees): 4.677 4.677 4.677 60.00 60.00 60.00
Fractional positions:
Sc 0.000 0.000 0.000
Tl 0.250 0.250 0.250
Zn 0.750 0.750 0.750
Cu 0.500 0.500 0.500

Summary:
V (Å³ per cell): 72
Energy above the most stable polymorph in this dataset (eV per formula unit): 0.09
Energy (eV/atom): -3.50